Record 1
Computed, not measured: crystalline GaRhAu3 at its relaxed geometry at the GGA-PBE level of DFT.

The structure in CIF format:
```
data_GaRhAu3
_chemical_formula_sum 'Ga1 Rh1 Au3'
_space_group_name_H-M_alt 'P 1'
_space_group_IT_number 1
_cell_length_a 5.0695
_cell_length_b 5.0695
_cell_length_c 5.0695
_cell_angle_alpha 90.00
_cell_angle_beta 90.00
_cell_angle_gamma 90.00
loop_
_space_group_symop_operation_xyz
'x,y,z'
loop_
_atom_site_label
_atom_site_type_symbol
_atom_site_fract_x
_atom_site_fract_y
_atom_site_fract_z
Ga1 Ga 0.0000 0.0000 0.0000
Rh1 Rh 0.5000 0.5000 0.5000
Au1 Au 0.0000 0.5000 0.5000
Au2 Au 0.5000 0.0000 0.5000
Au3 Au 0.5000 0.5000 0.0000
```

## Properties
- Raw total energy: -3.2855 eV per atom
- Magnetization: 0.981 μB/cell
- Energy above the most stable polymorph in this dataset: 0.0050 eV per atom
- DOS(E_F): 1.2109 states/eV/atom

Record 2
Computed, not measured: crystalline MgPa2Pt at its relaxed geometry at the GGA-PBE level of DFT.

The structure in CIF format:
```
data_MgPa2Pt
_chemical_formula_sum 'Mg1 Pa2 Pt1'
_space_group_name_H-M_alt 'P 1'
_space_group_IT_number 1
_cell_length_a 11.4409
_cell_length_b 11.4409
_cell_length_c 11.4409
_cell_angle_alpha 15.59
_cell_angle_beta 15.59
_cell_angle_gamma 15.59
loop_
_space_group_symop_operation_xyz
'x,y,z'
loop_
_atom_site_label
_atom_site_type_symbol
_atom_site_fract_x
_atom_site_fract_y
_atom_site_fract_z
Mg1 Mg 0.0000 0.0000 0.0000
Pa1 Pa 0.0951 0.0951 0.0951
Pa2 Pa 0.9049 0.9049 0.9049
Pt1 Pt 0.5000 0.5000 0.5000
```

## Properties
- Raw total energy: -6.6378 eV per atom
- Magnetization: 0.000 μB/cell
- DOS(E_F): 1.6513 states/eV/atom

Record 3
Computed, not measured: crystalline CeHfSb2O at its relaxed geometry at the GGA-PBE level of DFT.

The structure in CIF format:
```
data_CeHfSb2O
_chemical_formula_sum 'Ce2 Hf2 Sb4 O2'
_space_group_name_H-M_alt 'P 1'
_space_group_IT_number 1
_cell_length_a 3.9457
_cell_length_b 3.9457
_cell_length_c 14.2113
_cell_angle_alpha 90.00
_cell_angle_beta 90.00
_cell_angle_gamma 90.00
loop_
_space_group_symop_operation_xyz
'x,y,z'
loop_
_atom_site_label
_atom_site_type_symbol
_atom_site_fract_x
_atom_site_fract_y
_atom_site_fract_z
Ce1 Ce 0.2500 0.2500 0.0873
Ce2 Ce 0.7500 0.7500 0.9127
Hf1 Hf 0.2500 0.2500 0.5704
Hf2 Hf 0.7500 0.7500 0.4296
Sb1 Sb 0.2500 0.2500 0.3611
Sb2 Sb 0.2500 0.2500 0.7815
Sb3 Sb 0.7500 0.7500 0.2185
Sb4 Sb 0.7500 0.7500 0.6389
O1 O 0.2500 0.7500 0.0000
O2 O 0.7500 0.2500 0.0000
```

## Properties
- Raw total energy: -7.3091 eV per atom
- Magnetization: 0.193 μB/cell
- Formation energy without anion corrections: -1491 meV per atom
- DOS(E_F): 0.7634 states/eV/atom

Record 4
Computed, not measured: crystalline KCdCu4 at its relaxed geometry at the GGA-PBE level of DFT.

The structure in CIF format:
```
data_KCdCu4
_chemical_formula_sum 'K1 Cd1 Cu4'
_space_group_name_H-M_alt 'P 1'
_space_group_IT_number 1
_cell_length_a 5.2426
_cell_length_b 5.2426
_cell_length_c 5.2426
_cell_angle_alpha 60.00
_cell_angle_beta 60.00
_cell_angle_gamma 60.00
loop_
_space_group_symop_operation_xyz
'x,y,z'
loop_
_atom_site_label
_atom_site_type_symbol
_atom_site_fract_x
_atom_site_fract_y
_atom_site_fract_z
K1 K 0.0000 0.0000 0.0000
Cd1 Cd 0.7500 0.7500 0.7500
Cu1 Cu 0.3762 0.3762 0.3762
Cu2 Cu 0.3762 0.3762 0.8713
Cu3 Cu 0.3762 0.8713 0.3762
Cu4 Cu 0.8713 0.3762 0.3762
```

## Properties
- Raw total energy: -2.8447 eV per atom
- Magnetization: 0.000 μB/cell
- DOS(E_F): 0.4844 states/eV/atom

Look up the raw total energy of the third one. -7.3091 eV per atom

What is the raw total energy in the fourth record? -2.8447 eV per atom

magnetization of number 1 (GaRhAu3)? 0.981 μB/cell

Among the records above, which one has the highest magnetization? GaRhAu3